[1]
DFT (PBE) results for a relaxed LiZnTcF6 crystal.

Computed properties:
The total energy is -4.9579 eV per atom.

a = 5.1692 Å, b = 5.1692 Å, c = 9.1242 Å
α = 90.00°, β = 90.00°, γ = 120.00°
Each line ends with the local moment (μB).
Fractional coordinates of all 18 atoms:
F: 0.9997 0.3342 0.6283  0.03
F: 0.9997 0.6655 0.8717  0.03
F: 0.3345 0.3342 0.8717  0.03
F: 0.6658 0.0003 0.8717  0.03
F: 0.3342 0.9997 0.1283  0.03
F: 0.6655 0.6658 0.1283  0.03
F: 0.3345 0.0003 0.6283  0.03
F: 0.6655 0.9997 0.3717  0.03
F: 0.0003 0.3345 0.1283  0.03
F: 0.6658 0.6655 0.6283  0.03
F: 0.3342 0.3345 0.3717  0.03
F: 0.0003 0.6658 0.3717  0.03
Zn: 0.0000 0.0000 0.5000  0.00
Zn: 0.0000 0.0000 0.0000  0.00
Li: 0.6667 0.3333 0.7500  0.00
Li: 0.3333 0.6667 0.2500  0.00
Tc: 0.3333 0.6667 0.7500  1.69
Tc: 0.6667 0.3333 0.2500  1.69

[2]
DFT (PBE) results for a relaxed LiTeF2 crystal.

Computed properties:
Its energy above the lowest structure with this stoichiometry is 0 meV/atom.

a = 6.8354 Å, b = 6.8354 Å, c = 6.8354 Å
α = 27.56°, β = 27.56°, γ = 27.56°
Fractional coordinates of all 4 atoms:
F: 0.8861 0.8861 0.8861
F: 0.1139 0.1139 0.1139
Li: 0.5000 0.5000 0.5000
Te: 0.0000 0.0000 0.0000

[3]
DFT (PBE) results for a relaxed LiTe3F crystal.

Computed properties:
Its energy above the lowest structure with this stoichiometry is 209 meV/atom.

a = 4.8882 Å, b = 4.8882 Å, c = 4.8882 Å
α = 90.00°, β = 90.00°, γ = 90.00°
Fractional coordinates of all 5 atoms:
Te: 0.0000 0.5000 0.0000
Te: 0.0000 0.0000 0.5000
Te: 0.5000 0.0000 0.0000
Li: 0.0000 0.0000 0.0000
F: 0.5000 0.5000 0.5000

no.,total magnetization (μB per formula unit)
1,2.000
2,0.000
3,0.000